(1)
The following is a PBE calculation of crystalline TiRu2NO at its relaxed geometry, from the Alexandria database.

Summary:
ΔE_f (raw): 0.12 eV per atom
DOS at the Fermi energy: 3.73 states/eV/cell

a = 3.938 Å, b = 4.109 Å, c = 3.938 Å
α = 90.00°, β = 90.00°, γ = 90.00°
Element x y z (fractional)
1 N 0.000 0.000 0.000
2 Ru 0.000 0.000 0.500
3 Ru 0.500 0.000 0.000
4 O 0.500 0.500 0.500
5 Ti 0.000 0.500 0.000

=====

(2)
The following is a PBE calculation of crystalline Dy3YTm7 at its relaxed geometry, from the Alexandria database.

Summary:
Energy of formation: 0.161 eV/atom
DOS at the Fermi energy: 19.71 states/eV/cell
ΔE to the lowest computed polymorph: 0.00 eV/f.u.

a = 5.445 Å, b = 9.819 Å, c = 8.784 Å
α = 105.54°, β = 128.31°, γ = 89.99°
Element x y z (fractional)
1 Tm 0.852 0.710 0.352
2 Tm 0.679 0.359 0.180
3 Tm 0.080 0.169 0.080
4 Tm 0.920 0.831 0.920
5 Tm 0.500 0.000 0.500
6 Tm 0.148 0.290 0.648
7 Tm 0.321 0.641 0.820
8 Dy 0.721 0.002 0.220
9 Dy 0.000 0.500 0.000
10 Dy 0.279 0.998 0.780
11 Y 0.500 0.500 0.500

=====

(3)
The following is a PBE calculation of crystalline Hf2Cd2Co at its relaxed geometry, from the Alexandria database.

Summary:
Energy of formation: 0.580 eV/atom
DOS at the Fermi energy: 5.28 states/eV/cell
ΔE to the lowest computed polymorph: 1.44 eV/f.u.

a = 3.634 Å, b = 3.634 Å, c = 8.594 Å
α = 77.80°, β = 77.80°, γ = 90.00°
Element x y z (fractional)
1 Hf 0.585 0.585 0.830
2 Hf 0.415 0.415 0.170
3 Cd 0.750 0.250 0.500
4 Cd 0.250 0.750 0.500
5 Co 0.000 0.000 0.000

=====

no.,total moment (μB per cell),total energy (eV/cell)
1,1.4,-39.11
2,0.0,-49.79
3,0.0,-25.94